Below is K2LaZr after structural relaxation, with properties calculated at the PBE-GGA level.

Cell: 4.755 4.755 14.082 Å, 90.00 90.00 90.00°
Fractional positions:
K: 0.000 0.500 0.250
K: 0.000 0.500 0.750
K: 0.500 0.000 0.250
K: 0.500 0.000 0.750
La: 0.000 0.000 0.000
La: 0.500 0.500 0.500
Zr: 0.000 0.000 0.500
Zr: 0.500 0.500 0.000

Values from the calculation:
Distance to the lowest polymorph of the same formula, meV per atom: 413
Spin magnetization, Bohr magnetons per cell: 2.40
DOS at the Fermi energy, states/eV/f.u.: 6.186
Formation energy, kJ per mole of atoms: 78.37